(1)
A geometry-optimized Tb7Cd2Ru2 structure. Source: Alexandria via LeMat-Bulk, functional GGA-PBE.

Properties
E above lowest polymorph ... 0.760 eV/f.u.

Cell lengths 7.9578, 10.9606, 7.2004 Å; angles 90.00, 90.00, 90.00 degrees
Space group Cmmm (No. 65)
One atom of each set of equivalent atoms:
Tb 0.0000 0.0000 0.0000 [2 per cell]
Tb 0.0000 0.5000 0.2404 [4 per cell]
Tb 0.2500 0.2500 0.2512 [8 per cell]
Cd 0.1761 0.0000 0.5000 [4 per cell]
Ru 0.0000 0.2940 0.0000 [4 per cell]

(2)
A geometry-optimized Tb6CdRu2 structure. Source: Alexandria via LeMat-Bulk, functional GGA-PBE.

Properties
E above lowest polymorph ... 0.000 eV/f.u.

Cell lengths 9.3994, 9.5352, 10.5083 Å; angles 90.00, 90.00, 90.00 degrees
Space group Immm (No. 71)
One atom of each set of equivalent atoms:
Tb 0.0000 0.2026 0.2401 [8 per cell]
Tb 0.1867 0.5000 0.1718 [8 per cell]
Tb 0.2147 0.3171 0.5000 [8 per cell]
Cd 0.0000 0.0000 0.0000 [2 per cell]
Cd 0.0000 0.0000 0.5000 [2 per cell]
Ru 0.0000 0.3230 0.0000 [4 per cell]
Ru 0.0000 0.5000 0.3737 [4 per cell]

(3)
A geometry-optimized TbTmCdRu structure. Source: Alexandria via LeMat-Bulk, functional GGA-PBE.

Properties
E above lowest polymorph ... 0.000 eV/f.u.

Cell lengths 3.4449, 3.4449, 7.6616 Å; angles 90.00, 90.00, 90.00 degrees
Space group P4mm (No. 99)
One atom of each set of equivalent atoms:
Tb 0.0000 0.0000 0.0000 [1 per cell]
Tm 0.0000 0.0000 0.5702 [1 per cell]
Cd 0.5000 0.5000 0.2918 [1 per cell]
Ru 0.5000 0.5000 0.7793 [1 per cell]

no.,energy relative to the elements (eV/atom),mass density (g/cm³),total moment (μB per cell)
1,-0.194,8.1,0.000
2,-0.312,8.9,0.000
3,-0.423,9.9,0.000